1.
4
Lattice="3.2094 0.0000 0.0000 0.0000 3.2094 0.0000 0.0000 0.0000 6.3410" Properties=species:S:1:pos:R:3 comment="InSiW2 SCAN PBEsol geometry" raw_formation_energy_ev_per_atom=0.252 sg="P4mm, No. 99" dft_energy_ev_per_atom=-45.442 pbc="T T T"
In 0.0000 0.0000 0.0000
Si 1.6047 1.6047 1.8397
W 0.0000 0.0000 3.0435
W 1.6047 1.6047 4.5423

=====

2.
4
Lattice="3.3119 0.0000 0.0000 0.0000 4.2599 0.0000 0.0000 0.0000 4.5676" Properties=species:S:1:pos:R:3 comment="InSi2W SCAN PBEsol geometry" raw_formation_energy_ev_per_atom=0.831 sg="Pmmm, No. 47" dft_energy_ev_per_atom=-29.945 pbc="T T T"
In 0.0000 0.0000 0.0000
Si 0.0000 2.1300 2.2838
Si 1.6559 2.1300 0.0000
W 1.6559 0.0000 2.2838

=====

3.
8
Lattice="3.3021 0.0000 0.0000 0.0000 4.4392 0.0000 0.0000 0.0000 8.7178" Properties=species:S:1:pos:R:3 comment="InSiW2 SCAN PBEsol geometry" raw_formation_energy_ev_per_atom=0.528 sg="Imm2, No. 44" dft_energy_ev_per_atom=-45.166 pbc="T T T"
In 0.0000 0.0000 0.0000
In 1.6511 2.2196 4.3589
Si 0.0000 2.2196 6.6708
Si 1.6511 0.0000 2.3119
W 0.0000 0.0000 4.2608
W 0.0000 2.2196 2.0221
W 1.6511 0.0000 6.3810
W 1.6511 2.2196 8.6197

=====

4.
8
Lattice="4.0518 0.0000 0.0000 0.0000 4.3597 0.0000 0.0000 0.0000 10.9276" Properties=species:S:1:pos:R:3 comment="Y2InSi SCAN PBEsol geometry" raw_formation_energy_ev_per_atom=-0.746 sg="Amm2, No. 38" dft_energy_ev_per_atom=-25.518 pbc="T T T"
Y 0.0000 0.0000 0.0000
Y 0.0000 2.1798 5.4638
Y 2.0259 0.0000 3.0798
Y 2.0259 2.1798 8.5436
In 0.0000 0.0000 7.8226
In 0.0000 2.1798 2.3587
Si 2.0259 0.0000 6.0468
Si 2.0259 2.1798 0.5830

=====

5.
16
Lattice="7.1971 0.0000 0.0000 0.0000 7.1971 0.0000 0.0000 0.0000 7.1971" Properties=species:S:1:pos:R:3 comment="Y2InSi SCAN PBEsol geometry" raw_formation_energy_ev_per_atom=0.129 sg="F-43m, No. 216" dft_energy_ev_per_atom=-24.643 pbc="T T T"
Y 0.0000 0.0000 0.0000
Y 0.0000 3.5985 3.5985
Y 1.7993 1.7993 1.7993
Y 1.7993 5.3978 5.3978
Y 3.5985 0.0000 3.5985
Y 3.5985 3.5985 0.0000
Y 5.3978 1.7993 5.3978
Y 5.3978 5.3978 1.7993
In 1.7993 1.7993 5.3978
In 1.7993 5.3978 1.7993
In 5.3978 1.7993 1.7993
In 5.3978 5.3978 5.3978
Si 0.0000 0.0000 3.5985
Si 0.0000 3.5985 0.0000
Si 3.5985 0.0000 0.0000
Si 3.5985 3.5985 3.5985

=====

6.
12
Lattice="3.4257 0.0000 0.0000 -1.7129 2.9668 0.0000 0.0000 0.0000 29.5321" Properties=species:S:1:pos:R:3 comment="Y2InSi SCAN PBEsol geometry" raw_formation_energy_ev_per_atom=0.070 sg="R3m, No. 160" dft_energy_ev_per_atom=-24.702 pbc="T T T"
Y 0.0000 0.0000 0.0000
Y 0.0000 0.0000 7.0145
Y 0.0000 1.9778 19.6881
Y 0.0000 1.9778 26.7026
Y 1.7129 0.9889 9.8440
Y 1.7129 0.9889 16.8585
In 0.0000 0.0000 14.1838
In 0.0000 1.9778 4.3398
In 1.7129 0.9889 24.0279
Si 0.0000 0.0000 21.9936
Si 0.0000 1.9778 12.1495
Si 1.7129 0.9889 2.3055

=====

7.
4
Lattice="3.0620 0.0000 0.0000 0.0000 4.7414 0.0000 0.0000 0.0000 5.4366" Properties=species:S:1:pos:R:3 comment="YInSi2 SCAN PBEsol geometry" raw_formation_energy_ev_per_atom=-0.081 sg="Pmm2, No. 25" dft_energy_ev_per_atom=-20.396 pbc="T T T"
Y 0.0000 0.0000 0.0000
In 1.5310 2.3707 3.9316
Si 1.5310 0.0000 2.5394
Si 1.5310 2.3707 1.2117

=====

8.
4
Lattice="3.4926 0.0000 0.0000 0.0000 4.9062 0.0000 0.0000 0.0000 5.9420" Properties=species:S:1:pos:R:3 comment="Y2InSi SCAN PBEsol geometry" raw_formation_energy_ev_per_atom=-0.399 sg="Pmmm, No. 47" dft_energy_ev_per_atom=-25.171 pbc="T T T"
Y 0.0000 0.0000 0.0000
Y 1.7463 2.4531 2.9710
In 0.0000 0.0000 2.9710
Si 1.7463 2.4531 0.0000

=====

9.
4
Lattice="4.7122 0.0000 0.0000 0.0000 4.7122 0.0000 0.0000 0.0000 4.1270" Properties=species:S:1:pos:R:3 comment="Y2InSi SCAN PBEsol geometry" raw_formation_energy_ev_per_atom=-0.531 sg="P4/mmm, No. 123" dft_energy_ev_per_atom=-25.303 pbc="T T T"
Y 0.0000 2.3561 0.0000
Y 2.3561 0.0000 0.0000
In 0.0000 0.0000 2.0635
Si 2.3561 2.3561 2.0635

=====

10.
4
Lattice="3.4669 0.0000 0.0000 0.0000 3.4669 0.0000 0.0000 0.0000 6.5845" Properties=species:S:1:pos:R:3 comment="YInSi2 SCAN PBEsol geometry" raw_formation_energy_ev_per_atom=-0.086 sg="P4mm, No. 99" dft_energy_ev_per_atom=-20.401 pbc="T T T"
Y 0.0000 0.0000 0.0000
In 1.7334 1.7334 2.1089
Si 0.0000 0.0000 3.7621
Si 1.7334 1.7334 4.8040

=====

11.
8
Lattice="6.3342 0.0000 0.0000 0.0000 3.6593 0.0000 -2.1726 0.0000 6.5715" Properties=species:S:1:pos:R:3 comment="ZnInSi2 SCAN PBEsol geometry" raw_formation_energy_ev_per_atom=0.306 sg="Cm, No. 8" dft_energy_ev_per_atom=-16.427 pbc="T T T"
Zn 0.0000 0.0000 0.0000
Zn 3.1671 1.8297 0.0000
In -0.0369 0.0000 4.6380
In 3.1302 1.8297 4.6380
Si 1.0422 1.8297 1.5282
Si 2.0951 0.0000 2.6222
Si 4.2093 0.0000 1.5282
Si 5.2622 1.8297 2.6222

=====

12.
12
Lattice="4.2896 0.0000 0.0000 0.0000 4.3151 0.0000 0.0000 0.0000 11.8196" Properties=species:S:1:pos:R:3 comment="ZnInSi SCAN PBEsol geometry" raw_formation_energy_ev_per_atom=0.422 sg="Fmm2, No. 42" dft_energy_ev_per_atom=-18.551 pbc="T T T"
Zn 0.0000 0.0000 0.0000
Zn 0.0000 2.1576 5.9098
Zn 2.1448 0.0000 5.9098
Zn 2.1448 2.1576 0.0000
In 0.0000 0.0000 8.0697
In 0.0000 2.1576 2.1599
In 2.1448 0.0000 2.1599
In 2.1448 2.1576 8.0697
Si 0.0000 0.0000 4.3547
Si 0.0000 2.1576 10.2645
Si 2.1448 0.0000 10.2645
Si 2.1448 2.1576 4.3547

=====

13.
12
Lattice="6.4647 0.0000 0.0000 0.0000 6.4647 0.0000 0.0000 0.0000 6.4647" Properties=species:S:1:pos:R:3 comment="ZrInSi SCAN PBEsol geometry" raw_formation_energy_ev_per_atom=0.605 sg="F-43m, No. 216" dft_energy_ev_per_atom=-24.095 pbc="T T T"
Zr 0.0000 0.0000 0.0000
Zr 0.0000 3.2323 3.2323
Zr 3.2323 0.0000 3.2323
Zr 3.2323 3.2323 0.0000
In 1.6162 1.6162 4.8485
In 1.6162 4.8485 1.6162
In 4.8485 1.6162 1.6162
In 4.8485 4.8485 4.8485
Si 0.0000 0.0000 3.2323
Si 0.0000 3.2323 0.0000
Si 3.2323 0.0000 0.0000
Si 3.2323 3.2323 3.2323

=====

14.
4
Lattice="3.0315 0.0000 0.0000 0.0000 3.0315 0.0000 0.0000 0.0000 9.0996" Properties=species:S:1:pos:R:3 comment="ZrIn2Si SCAN PBEsol geometry" raw_formation_energy_ev_per_atom=-0.003 sg="P4mm, No. 99" dft_energy_ev_per_atom=-26.875 pbc="T T T"
Zr 0.0000 0.0000 0.0000
In 0.0000 0.0000 4.9363
In 1.5158 1.5158 2.3070
Si 1.5158 1.5158 7.2376

=====

15.
5
Lattice="5.1299 0.0000 0.0000 0.0000 5.1299 0.0000 0.0000 0.0000 5.1299" Properties=species:S:1:pos:R:3 comment="Zr3InSi SCAN PBEsol geometry" raw_formation_energy_ev_per_atom=1.073 sg="Pm-3m, No. 221" dft_energy_ev_per_atom=-26.026 pbc="T T T"
Zr 0.0000 0.0000 2.5649
Zr 0.0000 2.5649 0.0000
Zr 2.5649 0.0000 0.0000
In 0.0000 0.0000 0.0000
Si 2.5649 2.5649 2.5649

=====

16.
10
Lattice="3.4452 0.0000 0.0000 0.0000 3.4452 0.0000 0.0000 0.0000 16.2234" Properties=species:S:1:pos:R:3 comment="Zr2InSi2 SCAN PBEsol geometry" raw_formation_energy_ev_per_atom=-0.467 sg="I4/mmm, No. 139" dft_energy_ev_per_atom=-23.430 pbc="T T T"
Zr 0.0000 0.0000 1.8953
Zr 0.0000 0.0000 14.3281
Zr 1.7226 1.7226 6.2164
Zr 1.7226 1.7226 10.0070
In 0.0000 0.0000 8.1117
In 1.7226 1.7226 0.0000
Si 0.0000 1.7226 4.0559
Si 0.0000 1.7226 12.1676
Si 1.7226 0.0000 4.0559
Si 1.7226 0.0000 12.1676

=====

17.
12
Lattice="3.2655 0.0000 0.0000 -1.6328 2.8280 0.0000 0.0000 0.0000 27.3861" Properties=species:S:1:pos:R:3 comment="ZrIn2Si SCAN PBEsol geometry" raw_formation_energy_ev_per_atom=0.128 sg="R-3m, No. 166" dft_energy_ev_per_atom=-26.744 pbc="T T T"
Zr 0.0000 0.0000 0.0000
Zr 0.0000 1.8854 18.2574
Zr 1.6328 0.9427 9.1287
In 0.0000 0.0000 6.6856
In 0.0000 0.0000 20.7005
In 0.0000 1.8854 11.5718
In 0.0000 1.8854 24.9431
In 1.6328 0.9427 2.4431
In 1.6328 0.9427 15.8144
Si 0.0000 0.0000 13.6931
Si 0.0000 1.8854 4.5644
Si 1.6328 0.9427 22.8218

=====

18.
16
Lattice="4.9667 -4.0305 0.0000 4.9667 4.0305 0.0000 0.0000 0.0000 10.2852" Properties=species:S:1:pos:R:3 comment="Sm3In5 SCAN PBEsol geometry" delta_e_f_kj_per_mol_atoms=-65 sg="Cmcm, No. 63" dft_energy_ev_per_atom=-38.209 pbc="T T T"
Sm 4.9667 3.0353 7.7139
Sm 2.9362 0.0000 0.0000
Sm 2.9362 0.0000 5.1426
Sm 6.9971 0.0000 0.0000
Sm 6.9971 0.0000 5.1426
Sm 4.9667 -3.0353 2.5713
In 2.1373 1.7092 7.7139
In 4.9667 2.4737 0.4834
In 4.9667 2.4737 4.6592
In 2.1373 -1.7092 2.5713
In 4.9667 0.0579 2.5713
In 4.9667 -0.0579 7.7139
In 7.7960 1.7092 7.7139
In 4.9667 -2.4737 5.6261
In 4.9667 -2.4737 9.8018
In 7.7960 -1.7092 2.5713

=====

19.
8
Lattice="4.6290 0.0000 0.0000 0.0000 4.7264 0.0000 0.0000 0.0000 9.0832" Properties=species:S:1:pos:R:3 comment="Sm2In3Sn3 SCAN PBEsol geometry" delta_e_f_kj_per_mol_atoms=-55 sg="Pmmm, No. 47" dft_energy_ev_per_atom=-37.667 pbc="T T T"
Sm 0.0000 0.0000 2.2492
Sm 0.0000 0.0000 6.8341
In 0.0000 2.3632 4.5416
In 2.3145 2.3632 2.2994
In 2.3145 2.3632 6.7838
Sn 0.0000 2.3632 0.0000
Sn 2.3145 0.0000 0.0000
Sn 2.3145 0.0000 4.5416

=====

20.
16
Lattice="7.4115 0.0000 0.0000 0.0000 7.4115 0.0000 0.0000 0.0000 7.4115" Properties=species:S:1:pos:R:3 comment="SmTmIn2 SCAN PBEsol geometry" delta_e_f_kj_per_mol_atoms=-59 sg="Fm-3m, No. 225" dft_energy_ev_per_atom=-41.369 pbc="T T T"
Sm 0.0000 0.0000 0.0000
Sm 0.0000 3.7058 3.7058
Sm 3.7058 0.0000 3.7058
Sm 3.7058 3.7058 0.0000
Tm 0.0000 0.0000 3.7058
Tm 0.0000 3.7058 0.0000
Tm 3.7058 0.0000 0.0000
Tm 3.7058 3.7058 3.7058
In 1.8529 1.8529 1.8529
In 1.8529 1.8529 5.5586
In 1.8529 5.5586 1.8529
In 1.8529 5.5586 5.5586
In 5.5586 1.8529 1.8529
In 5.5586 1.8529 5.5586
In 5.5586 5.5586 1.8529
In 5.5586 5.5586 5.5586